# 1
Entry from the Alexandria database: Ag3WCl8 after structural relaxation (PBE).

Lattice parameters (Å, degrees): 6.166 6.166 8.978 90.00 90.00 91.63
Element x y z (fractional)
Ag 0.000 0.000 0.000
Ag 0.000 0.500 0.837
Ag 0.500 0.000 0.163
W 0.000 0.000 0.500
Cl 0.194 0.198 0.313
Cl 0.198 0.194 0.687
Cl 0.261 0.739 0.500
Cl 0.274 0.726 0.000
Cl 0.726 0.274 0.000
Cl 0.739 0.261 0.500
Cl 0.802 0.806 0.687
Cl 0.806 0.802 0.313

E_tot (eV/atom): -3.64
SG: C222 (21)

---

# 2
Entry from the Alexandria database: HfTcGe after structural relaxation (PBE).

Lattice parameters (Å, degrees): 8.221 4.665 5.511 90.00 101.09 90.00
Element x y z (fractional)
Hf 0.000 0.000 0.000
Hf 0.120 0.500 0.625
Hf 0.500 0.500 0.000
Hf 0.620 0.000 0.625
Tc 0.189 0.500 0.114
Tc 0.254 0.000 0.437
Tc 0.689 0.000 0.114
Tc 0.754 0.500 0.437
Ge 0.322 0.000 0.937
Ge 0.433 0.500 0.469
Ge 0.822 0.500 0.937
Ge 0.933 0.000 0.469

Polymorph energy (0 for the lowest one) (meV/atom): 326
SG: Cm (8)

---

# 3
Entry from the Alexandria database: La2NiCl after structural relaxation (PBE).

Lattice parameters (Å, degrees): 4.120 4.120 6.032 90.00 90.00 90.00
Element x y z (fractional)
La 0.000 0.000 0.000
La 0.500 0.500 0.500
Ni 0.000 0.000 0.500
Cl 0.500 0.500 0.000

Polymorph energy (0 for the lowest one) (meV/atom): 38
SG: P4/mmm (123)

---

# 4
Entry from the Alexandria database: SnH2Se after structural relaxation (PBE).

Lattice parameters (Å, degrees): 5.997 5.997 5.997 90.00 90.00 90.00
Element x y z (fractional)
Sn 0.000 0.000 0.000
Sn 0.000 0.500 0.500
Sn 0.500 0.000 0.500
Sn 0.500 0.500 0.000
H 0.250 0.250 0.250
H 0.250 0.250 0.750
H 0.250 0.750 0.250
H 0.250 0.750 0.750
H 0.750 0.250 0.250
H 0.750 0.250 0.750
H 0.750 0.750 0.250
H 0.750 0.750 0.750
Se 0.000 0.000 0.500
Se 0.000 0.500 0.000
Se 0.500 0.000 0.000
Se 0.500 0.500 0.500

Polymorph energy (0 for the lowest one) (meV/atom): 791
SG: Fm-3m (225)

---

# 5
Entry from the Alexandria database: BaLiEuTl after structural relaxation (PBE).

Lattice parameters (Å, degrees): 8.302 8.302 8.302 90.00 90.00 90.00
Element x y z (fractional)
Ba 0.000 0.000 0.000
Ba 0.000 0.500 0.500
Ba 0.500 0.000 0.500
Ba 0.500 0.500 0.000
Li 0.250 0.250 0.250
Li 0.250 0.750 0.750
Li 0.750 0.250 0.750
Li 0.750 0.750 0.250
Eu 0.000 0.000 0.500
Eu 0.000 0.500 0.000
Eu 0.500 0.000 0.000
Eu 0.500 0.500 0.500
Tl 0.250 0.250 0.750
Tl 0.250 0.750 0.250
Tl 0.750 0.250 0.250
Tl 0.750 0.750 0.750

E_tot (eV/atom): -4.31
SG: F-43m (216)

---

# 6
Entry from the Alexandria database: Sc2NiSbP after structural relaxation (PBE).

Lattice parameters (Å, degrees): 4.905 4.905 4.533 90.00 90.00 90.00
Element x y z (fractional)
Sc 0.000 0.500 0.000
Sc 0.500 0.000 0.000
Ni 0.000 0.000 0.000
Sb 0.000 0.000 0.500
P 0.500 0.500 0.500

E_tot (eV/atom): -5.74
SG: P4/mmm (123)